Computed, not measured: crystalline Zr2AgTe at its relaxed geometry at the PBE-GGA level of DFT.

Geometry as POSCAR:
```
Zr2AgTe
1.0
4.535 0.000 0.000
0.000 4.535 0.000
0.000 0.000 8.349
Zr Ag Te
4 2 2
Cartesian
0.000 2.267 2.087
0.000 2.267 6.262
2.267 0.000 2.087
2.267 0.000 6.262
0.000 0.000 0.000
2.267 2.267 4.174
0.000 0.000 4.174
2.267 2.267 0.000
```

Results
E above lowest polymorph: 0.13 eV/f.u.
N(E_F): 0.63 states/eV per atom
E_form (uncorrected): -1.1 eV/f.u.


Computed, not measured: crystalline ZrAgTe4 at its relaxed geometry at the PBE-GGA level of DFT.

Geometry as POSCAR:
```
ZrAgTe4
1.0
0.000 4.402 4.402
4.402 0.000 4.402
4.402 4.402 0.000
Zr Ag Te
1 1 4
Cartesian
0.000 0.000 0.000
6.602 6.602 6.602
3.300 3.300 3.300
5.503 5.503 3.300
5.503 3.300 5.503
3.300 5.503 5.503
```

Results
E above lowest polymorph: 4.75 eV/f.u.
N(E_F): 0.87 states/eV per atom
E_form (uncorrected): 3.6 eV/f.u.


Computed, not measured: crystalline Zr3AgTe at its relaxed geometry at the PBE-GGA level of DFT.

Geometry as POSCAR:
```
Zr3AgTe
1.0
5.166 0.000 0.000
0.000 5.166 0.000
0.000 0.000 5.166
Zr Ag Te
3 1 1
Cartesian
0.000 0.000 2.583
0.000 2.583 0.000
2.583 0.000 0.000
0.000 0.000 0.000
2.583 2.583 2.583
```

Results
E above lowest polymorph: 0.00 eV/f.u.
N(E_F): 1.21 states/eV per atom
E_form (uncorrected): 3.3 eV/f.u.


Computed, not measured: crystalline Zr2AgTe at its relaxed geometry at the PBE-GGA level of DFT.

Geometry as POSCAR:
```
Zr2AgTe
1.0
3.654 0.000 0.000
0.000 4.169 0.000
-1.798 0.000 5.822
Zr Ag Te
2 1 1
Cartesian
0.000 0.000 0.000
0.032 2.085 3.957
1.820 2.085 1.031
1.859 0.000 2.856
```

Results
E above lowest polymorph: 0.00 eV/f.u.
N(E_F): 0.50 states/eV per atom
E_form (uncorrected): -1.2 eV/f.u.


Computed, not measured: crystalline Zr2Ag2Te7 at its relaxed geometry at the PBE-GGA level of DFT.

Geometry as POSCAR:
```
Zr2Ag2Te7
1.0
-2.088 8.954 4.347
2.088 -8.954 4.347
2.088 8.954 -4.347
Zr Ag Te
2 2 7
Cartesian
0.000 0.000 0.000
0.000 8.954 0.701
2.088 4.448 1.257
0.000 4.506 5.604
2.088 6.287 -2.776
2.088 0.000 2.096
0.000 2.667 1.571
2.088 6.922 0.083
0.000 2.032 4.430
0.000 7.144 3.056
0.000 10.764 3.056
```

Results
N(E_F): 0.62 states/eV per atom
E_form (uncorrected): -4.5 eV/f.u.


Computed, not measured: crystalline ZrAg3Te at its relaxed geometry at the PBE-GGA level of DFT.

Geometry as POSCAR:
```
ZrAg3Te
1.0
5.305 0.000 0.000
0.000 5.305 0.000
0.000 0.000 5.305
Zr Ag Te
1 3 1
Cartesian
0.000 0.000 0.000
0.000 0.000 2.652
0.000 2.652 0.000
2.652 0.000 0.000
2.652 2.652 2.652
```

Results
E above lowest polymorph: 0.95 eV/f.u.
N(E_F): 0.84 states/eV per atom
E_form (uncorrected): 5.6 eV/f.u.


Computed, not measured: crystalline Zr4AgTe at its relaxed geometry at the PBE-GGA level of DFT.

Geometry as POSCAR:
```
Zr4AgTe
1.0
0.000 4.101 4.101
4.101 0.000 4.101
4.101 4.101 0.000
Zr Ag Te
4 1 1
Cartesian
1.020 1.020 1.020
3.082 3.082 1.020
3.082 1.020 3.082
1.020 3.082 3.082
6.152 6.152 6.152
4.101 4.101 4.101
```

Results
N(E_F): 1.04 states/eV per atom
E_form (uncorrected): 1.6 eV/f.u.


Computed, not measured: crystalline ZrAg2Te at its relaxed geometry at the PBE-GGA level of DFT.

Geometry as POSCAR:
```
ZrAg2Te
1.0
3.669 0.000 0.000
0.000 3.669 0.000
0.000 0.000 6.435
Zr Ag Te
1 2 1
Cartesian
0.000 0.000 0.000
0.000 0.000 3.019
1.834 1.834 1.810
1.834 1.834 5.063
```

Results
E above lowest polymorph: 0.00 eV/f.u.
N(E_F): 0.72 states/eV per atom
E_form (uncorrected): -0.8 eV/f.u.